Entry from Alexandria: an optimized crystal structure of ScHN (PBE).

Cell: 6.3176 3.6292 7.5323 Å, 90.00 98.92 90.00°
Last column: nearest neighbours and their distance in Å.
Space group C2/m (No. 12)
Symmetry-distinct sites (fractional):
Sc 0.1388 0.0000 0.3532 x4  4 N 2.10-2.16
H 0.0514 0.0000 0.9792 x4  1 H 0.76
N 0.1933 0.0000 0.6437 x4  4 Sc 2.10-2.16

***

Entry from Alexandria: an optimized crystal structure of Sc4HN3 (PBE).

Cell: 6.4551 8.9515 3.2137 Å, 90.00 90.00 90.00°
Last column: nearest neighbours and their distance in Å.
Space group Cmmm (No. 65)
Symmetry-distinct sites (fractional):
Sc 0.0000 0.2443 0.0000 x4  5 N 2.19-2.28, 1 H 2.29
Sc 0.2322 0.0000 0.5000 x4  4 N 2.20-2.24, 2 H 2.36
H 0.0000 0.5000 0.0000 x2  6 Sc 2.29-2.36
N 0.0000 0.0000 0.0000 x2  6 Sc 2.19-2.20
N 0.2500 0.2500 0.5000 x4  6 Sc 2.24-2.28

***

| no. | calculated total energy (eV per atom) | N(E_F) (states/eV/atom) |
| --- | --- | --- |
| 1 | -7.00 | 0.0000 |
| 2 | -8.26 | 0.4368 |